Model 1:
YThZr | GGA-PBE | optimized geometry

Output
DOS at the Fermi energy: 1.1000 states/eV/atom

```
data_YThZr
_cell_length_a 3.4673
_cell_length_b 3.4673
_cell_length_c 8.2869
_cell_angle_alpha 90.00
_cell_angle_beta 90.00
_cell_angle_gamma 120.00
_symmetry_space_group_name_H-M 'P 3 m 1'
_symmetry_Int_Tables_number 156
loop_
_symmetry_equiv_pos_as_xyz
'x,y,z'
'-y,x-y,z'
'-x+y,-x,z'
'-y,-x,z'
'-x+y,y,z'
'x,x-y,z'
loop_
_atom_site_label
_atom_site_type_symbol
_atom_site_fract_x
_atom_site_fract_y
_atom_site_fract_z
Y1 Y 0.0000 0.0000 0.0000
Th1 Th 0.6667 0.3333 0.3515
Zr1 Zr 0.3333 0.6667 0.6675
```



Model 2:
YThZr | GGA-PBE | optimized geometry

Output
DOS at the Fermi energy: 1.8314 states/eV/atom

```
data_YThZr
_cell_length_a 3.4570
_cell_length_b 3.4570
_cell_length_c 16.8549
_cell_angle_alpha 90.00
_cell_angle_beta 90.00
_cell_angle_gamma 120.00
_symmetry_space_group_name_H-M 'P -6 m 2'
_symmetry_Int_Tables_number 187
_symmetry_space_group_name_Hall 'P -6 2'
loop_
_atom_site_label
_atom_site_type_symbol
_atom_site_fract_x
_atom_site_fract_y
_atom_site_fract_z
Y1 Y 0.0000 0.0000 0.0000
Y2 Y 0.3333 0.6667 0.5000
Th1 Th 0.3333 0.6667 0.1784
Zr1 Zr 0.0000 0.0000 0.3391
```



Model 3:
YThZr | GGA-PBE | optimized geometry

Output
DOS at the Fermi energy: 1.3074 states/eV/atom

```
data_YThZr
_cell_length_a 3.3997
_cell_length_b 3.3997
_cell_length_c 15.0510
_cell_angle_alpha 90.00
_cell_angle_beta 90.00
_cell_angle_gamma 90.00
_symmetry_space_group_name_H-M 'I 4 m m'
_symmetry_Int_Tables_number 107
_symmetry_space_group_name_Hall 'I 4 -2'
loop_
_atom_site_label
_atom_site_type_symbol
_atom_site_fract_x
_atom_site_fract_y
_atom_site_fract_z
Y1 Y 0.0000 0.0000 0.0000
Th1 Th 0.0000 0.0000 0.6820
Zr1 Zr 0.0000 0.0000 0.3404
```



Of them, model 3 has the highest stability.



Model 1:
Y2ThZr | GGA-PBE | optimized geometry

Output
DOS at the Fermi energy: 1.2069 states/eV/atom

```
data_Y2ThZr
_cell_length_a 3.4075
_cell_length_b 3.4075
_cell_length_c 35.8964
_cell_angle_alpha 90.00
_cell_angle_beta 90.00
_cell_angle_gamma 120.00
_symmetry_space_group_name_H-M 'R -3 m'
_symmetry_Int_Tables_number 166
_symmetry_space_group_name_Hall '-R 3 2"'
loop_
_atom_site_label
_atom_site_type_symbol
_atom_site_fract_x
_atom_site_fract_y
_atom_site_fract_z
Y1 Y 0.0000 0.0000 0.0875
Th1 Th 0.0000 0.0000 0.5000
Zr1 Zr 0.0000 0.0000 0.0000
```



Model 2:
Y2ThZr | GGA-PBE | optimized geometry

Output
DOS at the Fermi energy: 1.1576 states/eV/atom

```
data_Y2ThZr
_cell_length_a 4.8231
_cell_length_b 4.8231
_cell_length_c 5.0527
_cell_angle_alpha 90.00
_cell_angle_beta 90.00
_cell_angle_gamma 90.00
_symmetry_space_group_name_H-M 'P 4/m m m'
_symmetry_Int_Tables_number 123
_symmetry_space_group_name_Hall '-P 4 2'
loop_
_atom_site_label
_atom_site_type_symbol
_atom_site_fract_x
_atom_site_fract_y
_atom_site_fract_z
Y1 Y 0.0000 0.5000 0.0000
Th1 Th 0.0000 0.0000 0.5000
Zr1 Zr 0.5000 0.5000 0.5000
```



Of them, model 2 has the highest stability.



Model 1:
Y2ThZr | GGA-PBE | optimized geometry

Output
DOS at the Fermi energy: 1.2539 states/eV/atom

```
data_Y2ThZr
_cell_length_a 3.4966
_cell_length_b 3.4966
_cell_length_c 33.5096
_cell_angle_alpha 90.00
_cell_angle_beta 90.00
_cell_angle_gamma 120.00
_symmetry_space_group_name_H-M 'R 3 m'
_symmetry_Int_Tables_number 160
_symmetry_space_group_name_Hall 'R 3 -2"'
loop_
_atom_site_label
_atom_site_type_symbol
_atom_site_fract_x
_atom_site_fract_y
_atom_site_fract_z
Y1 Y 0.0000 0.0000 0.0000
Y2 Y 0.0000 0.0000 0.1586
Th1 Th 0.0000 0.0000 0.5798
Zr1 Zr 0.0000 0.0000 0.7457
```



Model 2:
Y2ThZr | GGA-PBE | optimized geometry

Output
DOS at the Fermi energy: 1.9688 states/eV/atom

```
data_Y2ThZr
_cell_length_a 4.0907
_cell_length_b 4.0907
_cell_length_c 7.0917
_cell_angle_alpha 90.00
_cell_angle_beta 90.00
_cell_angle_gamma 90.00
_symmetry_space_group_name_H-M 'P 4/m m m'
_symmetry_Int_Tables_number 123
_symmetry_space_group_name_Hall '-P 4 2'
loop_
_atom_site_label
_atom_site_type_symbol
_atom_site_fract_x
_atom_site_fract_y
_atom_site_fract_z
Y1 Y 0.0000 0.0000 0.2335
Th1 Th 0.5000 0.5000 0.5000
Zr1 Zr 0.5000 0.5000 0.0000
```



Of them, model 1 has the highest stability.



Model 1:
YThZr2 | GGA-PBE | optimized geometry

Output
DOS at the Fermi energy: 1.4278 states/eV/atom

```
data_YThZr2
_cell_length_a 3.4137
_cell_length_b 3.4137
_cell_length_c 32.5663
_cell_angle_alpha 90.00
_cell_angle_beta 90.00
_cell_angle_gamma 120.00
_symmetry_space_group_name_H-M 'R -3 m'
_symmetry_Int_Tables_number 166
_symmetry_space_group_name_Hall '-R 3 2"'
loop_
_atom_site_label
_atom_site_type_symbol
_atom_site_fract_x
_atom_site_fract_y
_atom_site_fract_z
Y1 Y 0.0000 0.0000 0.0000
Th1 Th 0.0000 0.0000 0.5000
Zr1 Zr 0.0000 0.0000 0.2485
```



Model 2:
YThZr2 | GGA-PBE | optimized geometry

Output
DOS at the Fermi energy: 1.2119 states/eV/atom

```
data_YThZr2
_cell_length_a 4.7999
_cell_length_b 4.7999
_cell_length_c 4.7059
_cell_angle_alpha 90.00
_cell_angle_beta 90.00
_cell_angle_gamma 90.00
_symmetry_space_group_name_H-M 'P 4/m m m'
_symmetry_Int_Tables_number 123
_symmetry_space_group_name_Hall '-P 4 2'
loop_
_atom_site_label
_atom_site_type_symbol
_atom_site_fract_x
_atom_site_fract_y
_atom_site_fract_z
Y1 Y 0.0000 0.0000 0.0000
Th1 Th 0.5000 0.5000 0.0000
Zr1 Zr 0.0000 0.5000 0.5000
```



Model 3:
YThZr2 | GGA-PBE | optimized geometry

Output
DOS at the Fermi energy: 1.7884 states/eV/atom

```
data_YThZr2
_cell_length_a 7.5591
_cell_length_b 7.5591
_cell_length_c 7.5591
_cell_angle_alpha 90.00
_cell_angle_beta 90.00
_cell_angle_gamma 90.00
_symmetry_space_group_name_H-M 'F m -3 m'
_symmetry_Int_Tables_number 225
_symmetry_space_group_name_Hall '-F 4 2 3'
loop_
_atom_site_label
_atom_site_type_symbol
_atom_site_fract_x
_atom_site_fract_y
_atom_site_fract_z
Y1 Y 0.0000 0.0000 0.0000
Th1 Th 0.0000 0.0000 0.5000
Zr1 Zr 0.2500 0.2500 0.2500
```



Model 4:
YThZr2 | GGA-PBE | optimized geometry

Output
DOS at the Fermi energy: 1.6210 states/eV/atom

```
data_YThZr2
_cell_length_a 5.8532
_cell_length_b 3.3882
_cell_length_c 11.1809
_cell_angle_alpha 90.00
_cell_angle_beta 100.09
_cell_angle_gamma 90.00
_symmetry_space_group_name_H-M 'C 1 m 1'
_symmetry_Int_Tables_number 8
loop_
_symmetry_equiv_pos_as_xyz
'x,y,z'
'x,-y,z'
'x+1/2,y+1/2,z'
'x+1/2,-y+1/2,z'
loop_
_atom_site_label
_atom_site_type_symbol
_atom_site_fract_x
_atom_site_fract_y
_atom_site_fract_z
Y1 Y 0.0000 0.0000 0.0000
Th1 Th 0.1676 0.0000 0.5007
Zr1 Zr 0.0878 0.5000 0.7503
Zr2 Zr 0.4210 0.0000 0.2520
```



Of them, model 2 has the highest stability.



Model 1:
ThZn11 | GGA-PBE | optimized geometry

Output
DOS at the Fermi energy: 0.2749 states/eV/atom

```
data_ThZn11
_cell_length_a 4.3310
_cell_length_b 5.2029
_cell_length_c 9.2242
_cell_angle_alpha 90.00
_cell_angle_beta 90.00
_cell_angle_gamma 90.00
_symmetry_space_group_name_H-M 'P m m m'
_symmetry_Int_Tables_number 47
loop_
_symmetry_equiv_pos_as_xyz
'x,y,z'
'-x,-y,-z'
'-x,-y,z'
'x,y,-z'
'x,-y,-z'
'-x,y,z'
'-x,y,-z'
'x,-y,z'
loop_
_atom_site_label
_atom_site_type_symbol
_atom_site_fract_x
_atom_site_fract_y
_atom_site_fract_z
Th1 Th 0.0000 0.0000 0.0000
Zn1 Zn 0.0000 0.0000 0.3509
Zn2 Zn 0.0000 0.5000 0.2132
Zn3 Zn 0.0000 0.5000 0.5000
Zn4 Zn 0.5000 0.0000 0.5000
Zn5 Zn 0.5000 0.2394 0.2359
Zn6 Zn 0.5000 0.5000 0.0000
```



Model 2:
ThZn11 | GGA-PBE | optimized geometry

Output
DOS at the Fermi energy: 0.2932 states/eV/atom

```
data_ThZn11
_cell_length_a 10.5721
_cell_length_b 10.5721
_cell_length_c 6.9336
_cell_angle_alpha 90.00
_cell_angle_beta 90.00
_cell_angle_gamma 90.00
_symmetry_space_group_name_H-M 'I 41/a m d'
_symmetry_Int_Tables_number 141
loop_
_symmetry_equiv_pos_as_xyz
'x,y,z'
'-x,-y,-z'
'-y+1/4,x+3/4,z+1/4'
'y+1/4,-x+3/4,-z+1/4'
'-x+1/2,-y,z+1/2'
'x+1/2,y,-z+1/2'
'y+1/4,-x+1/4,z+3/4'
'-y+1/4,x+1/4,-z+3/4'
'x,-y,-z'
'-x,y,z'
'-y+1/4,-x+1/4,-z+3/4'
'y+1/4,x+1/4,z+3/4'
'-x+1/2,y,-z+1/2'
'x+1/2,-y,z+1/2'
'y+1/4,x+3/4,-z+1/4'
'-y+1/4,-x+3/4,z+1/4'
'x+1/2,y+1/2,z+1/2'
'-x+1/2,-y+1/2,-z+1/2'
'-y+3/4,x+1/4,z+3/4'
'y+3/4,-x+1/4,-z+3/4'
'-x,-y+1/2,z'
'x,y+1/2,-z'
'y+3/4,-x+3/4,z+1/4'
'-y+3/4,x+3/4,-z+1/4'
'x+1/2,-y+1/2,-z+1/2'
'-x+1/2,y+1/2,z+1/2'
'-y+3/4,-x+3/4,-z+1/4'
'y+3/4,x+3/4,z+1/4'
'-x,y+1/2,-z'
'x,-y+1/2,z'
'y+3/4,x+1/4,-z+3/4'
'-y+3/4,-x+1/4,z+3/4'
loop_
_atom_site_label
_atom_site_type_symbol
_atom_site_fract_x
_atom_site_fract_y
_atom_site_fract_z
Th1 Th 0.0000 0.2500 0.3750
Zn1 Zn 0.0000 0.0000 0.0000
Zn2 Zn 0.0000 0.2500 0.8750
Zn3 Zn 0.1215 0.0444 0.6760
```



Of them, model 2 has the highest stability.



Model 1:
ThZr3 | GGA-PBE | optimized geometry

Output
DOS at the Fermi energy: 1.4586 states/eV/atom

```
data_ThZr3
_cell_length_a 3.2414
_cell_length_b 10.8791
_cell_length_c 5.7412
_cell_angle_alpha 90.00
_cell_angle_beta 90.00
_cell_angle_gamma 90.00
_symmetry_space_group_name_H-M 'I m m 2'
_symmetry_Int_Tables_number 44
loop_
_symmetry_equiv_pos_as_xyz
'x,y,z'
'-x,-y,z'
'-x,y,z'
'x,-y,z'
'x+1/2,y+1/2,z+1/2'
'-x+1/2,-y+1/2,z+1/2'
'-x+1/2,y+1/2,z+1/2'
'x+1/2,-y+1/2,z+1/2'
loop_
_atom_site_label
_atom_site_type_symbol
_atom_site_fract_x
_atom_site_fract_y
_atom_site_fract_z
Th1 Th 0.0000 0.0000 0.0000
Zr1 Zr 0.0000 0.2422 0.2884
Zr2 Zr 0.0000 0.5000 0.0098
```



Model 2:
ThZr3 | GGA-PBE | optimized geometry

Output
DOS at the Fermi energy: 1.2698 states/eV/atom

```
data_ThZr3
_cell_length_a 4.6751
_cell_length_b 4.6751
_cell_length_c 9.2192
_cell_angle_alpha 90.00
_cell_angle_beta 90.00
_cell_angle_gamma 90.00
_symmetry_space_group_name_H-M 'I 4/m m m'
_symmetry_Int_Tables_number 139
_symmetry_space_group_name_Hall '-I 4 2'
loop_
_atom_site_label
_atom_site_type_symbol
_atom_site_fract_x
_atom_site_fract_y
_atom_site_fract_z
Th1 Th 0.0000 0.0000 0.0000
Zr1 Zr 0.0000 0.0000 0.5000
Zr2 Zr 0.0000 0.5000 0.2500
```



Of them, model 2 has the highest stability.



Model 1:
ThZr3 | GGA-PBE | optimized geometry

Output
DOS at the Fermi energy: 1.2040 states/eV/atom

```
data_ThZr3
_cell_length_a 4.6568
_cell_length_b 4.6568
_cell_length_c 4.6568
_cell_angle_alpha 90.00
_cell_angle_beta 90.00
_cell_angle_gamma 90.00
_symmetry_space_group_name_H-M 'P m -3 m'
_symmetry_Int_Tables_number 221
_symmetry_space_group_name_Hall '-P 4 2 3'
loop_
_atom_site_label
_atom_site_type_symbol
_atom_site_fract_x
_atom_site_fract_y
_atom_site_fract_z
Th1 Th 0.0000 0.0000 0.0000
Zr1 Zr 0.0000 0.5000 0.5000
```



Model 2:
ThZr3 | GGA-PBE | optimized geometry

Output
DOS at the Fermi energy: 1.0813 states/eV/atom

```
data_ThZr3
_cell_length_a 3.3091
_cell_length_b 3.3091
_cell_length_c 10.7419
_cell_angle_alpha 90.00
_cell_angle_beta 90.00
_cell_angle_gamma 120.00
_symmetry_space_group_name_H-M 'P -6 m 2'
_symmetry_Int_Tables_number 187
_symmetry_space_group_name_Hall 'P -6 2'
loop_
_atom_site_label
_atom_site_type_symbol
_atom_site_fract_x
_atom_site_fract_y
_atom_site_fract_z
Th1 Th 0.0000 0.0000 0.0000
Zr1 Zr 0.0000 0.0000 0.5000
Zr2 Zr 0.6667 0.3333 0.2638
```



Model 3:
ThZr3 | GGA-PBE | optimized geometry

Output
DOS at the Fermi energy: 1.9294 states/eV/atom

```
data_ThZr3
_cell_length_a 7.3511
_cell_length_b 7.3511
_cell_length_c 7.3511
_cell_angle_alpha 90.00
_cell_angle_beta 90.00
_cell_angle_gamma 90.00
_symmetry_space_group_name_H-M 'F m -3 m'
_symmetry_Int_Tables_number 225
_symmetry_space_group_name_Hall '-F 4 2 3'
loop_
_atom_site_label
_atom_site_type_symbol
_atom_site_fract_x
_atom_site_fract_y
_atom_site_fract_z
Th1 Th 0.0000 0.0000 0.0000
Zr1 Zr 0.0000 0.0000 0.5000
Zr2 Zr 0.2500 0.2500 0.2500
```



Model 4:
ThZr3 | GGA-PBE | optimized geometry

Output
DOS at the Fermi energy: 1.1721 states/eV/atom

```
data_ThZr3
_cell_length_a 3.2644
_cell_length_b 3.2644
_cell_length_c 9.5086
_cell_angle_alpha 90.00
_cell_angle_beta 90.00
_cell_angle_gamma 90.00
_symmetry_space_group_name_H-M 'P 4/m m m'
_symmetry_Int_Tables_number 123
_symmetry_space_group_name_Hall '-P 4 2'
loop_
_atom_site_label
_atom_site_type_symbol
_atom_site_fract_x
_atom_site_fract_y
_atom_site_fract_z
Th1 Th 0.0000 0.0000 0.0000
Zr1 Zr 0.0000 0.0000 0.5000
Zr2 Zr 0.5000 0.5000 0.2656
```



Of them, model 2 has the highest stability.



Model 1:
ThZr3 | GGA-PBE | optimized geometry

Output
DOS at the Fermi energy: 1.4194 states/eV/atom

```
data_ThZr3
_cell_length_a 3.2349
_cell_length_b 5.4424
_cell_length_c 5.7570
_cell_angle_alpha 90.00
_cell_angle_beta 90.00
_cell_angle_gamma 90.00
_symmetry_space_group_name_H-M 'P m m 2'
_symmetry_Int_Tables_number 25
loop_
_symmetry_equiv_pos_as_xyz
'x,y,z'
'-x,-y,z'
'-x,y,z'
'x,-y,z'
loop_
_atom_site_label
_atom_site_type_symbol
_atom_site_fract_x
_atom_site_fract_y
_atom_site_fract_z
Th1 Th 0.0000 0.0000 0.0000
Zr1 Zr 0.0000 0.5000 0.6979
Zr2 Zr 0.5000 0.0000 0.4965
Zr3 Zr 0.5000 0.5000 0.2221
```



Model 2:
ThZr3 | GGA-PBE | optimized geometry

Output
DOS at the Fermi energy: 1.1786 states/eV/atom

```
data_ThZr3
_cell_length_a 6.6126
_cell_length_b 6.6126
_cell_length_c 5.4135
_cell_angle_alpha 90.00
_cell_angle_beta 90.00
_cell_angle_gamma 120.00
_symmetry_space_group_name_H-M 'P 63/m m c'
_symmetry_Int_Tables_number 194
_symmetry_space_group_name_Hall '-P 6c 2c'
loop_
_atom_site_label
_atom_site_type_symbol
_atom_site_fract_x
_atom_site_fract_y
_atom_site_fract_z
Th1 Th 0.3333 0.6667 0.2500
Zr1 Zr 0.1567 0.3135 0.7500
```



Of them, model 2 has the highest stability.